(1)
Computed, not measured: Zr4PtRh after structural relaxation at the PBE level of DFT.

a b c (Å): 5.527 5.527 5.527
angles (deg): 60.00 60.00 60.00
Fractional positions:
Zr 0.375 0.375 0.375
Zr 0.375 0.375 0.876
Zr 0.375 0.876 0.375
Zr 0.876 0.375 0.375
Rh 0.000 0.000 0.000
Pt 0.750 0.750 0.750

Results
energy of formation: 0.17 eV per atom
SG: F-43m (216)
DOS at the Fermi energy: 7.3 states/eV/cell
calculated total energy: -7.76 eV per atom
distance to the lowest polymorph of the same formula: 835.2 meV/atom



(2)
Computed, not measured: HfTiW3 after structural relaxation at the PBE level of DFT.

a b c (Å): 4.607 4.607 4.607
angles (deg): 90.00 90.00 90.00
Fractional positions:
Ti 0.000 0.000 0.000
W 0.000 0.500 0.000
W 0.500 0.000 0.000
W 0.000 0.000 0.500
Hf 0.500 0.500 0.500

Results
energy of formation: 1.50 eV per atom
SG: Pm-3m (221)
DOS at the Fermi energy: 6.4 states/eV/cell
calculated total energy: -9.84 eV per atom
distance to the lowest polymorph of the same formula: 0.0 meV/atom



(3)
Computed, not measured: Rb4Nd3GaS8 after structural relaxation at the PBE level of DFT.

a b c (Å): 8.227 9.080 8.272
angles (deg): 117.22 119.82 90.00
Fractional positions:
S 0.243 0.313 0.028
S 0.776 0.306 0.551
S 0.224 0.694 0.449
S 0.757 0.687 0.972
S 0.733 0.700 0.466
S 0.215 0.687 0.972
S 0.267 0.300 0.534
S 0.785 0.313 0.028
Rb 0.500 0.000 0.500
Rb 0.500 0.000 0.000
Rb 0.000 0.000 0.000
Rb 0.000 0.000 0.500
Nd 0.500 0.500 0.000
Nd 0.000 0.500 0.500
Nd 0.500 0.500 0.500
Ga 0.000 0.500 0.000

Results
ΔE_f (raw): -1500.9 meV/atom
SG: C2/m (12)
calculated total energy: -4.89 eV per atom



(4)
Computed, not measured: Pm5Tm2Bi5 after structural relaxation at the PBE level of DFT.

a b c (Å): 4.510 7.788 12.968
angles (deg): 111.40 90.00 106.83
Fractional positions:
Bi 0.310 0.620 0.218
Bi 0.115 0.230 0.426
Bi 0.885 0.770 0.574
Bi 0.690 0.380 0.782
Bi 0.000 0.000 0.000
Pm 0.337 0.674 0.967
Pm 0.500 0.000 0.500
Pm 0.663 0.326 0.033
Pm 0.281 0.562 0.659
Pm 0.719 0.438 0.341
Tm 0.948 0.896 0.207
Tm 0.052 0.104 0.793

Results
energy of formation: -0.65 eV per atom
SG: C2/m (12)
DOS at the Fermi energy: 8.6 states/eV/cell
calculated total energy: -4.99 eV per atom



(5)
Computed, not measured: RbHfSc after structural relaxation at the PBE level of DFT.

a b c (Å): 4.889 4.890 13.374
angles (deg): 79.47 79.52 120.01
Fractional positions:
Sc 0.734 0.607 0.329
Sc 0.519 0.059 0.210
Rb 0.841 0.048 0.555
Rb 0.850 0.390 0.879
Hf 0.961 0.834 0.101
Hf 0.188 0.395 0.207

Results
energy of formation: 0.50 eV per atom
SG: Cm (8)
DOS at the Fermi energy: 6.3 states/eV/cell
calculated total energy: -5.25 eV per atom
distance to the lowest polymorph of the same formula: 129.4 meV/atom



(6)
Computed, not measured: La3HoO after structural relaxation at the PBE level of DFT.

a b c (Å): 5.174 5.174 5.174
angles (deg): 90.00 90.00 90.00
Fractional positions:
La 0.500 0.000 0.000
La 0.000 0.000 0.500
La 0.000 0.500 0.000
Ho 0.500 0.500 0.500
O 0.000 0.000 0.000

Results
ΔE_f (raw): -1145.9 meV/atom
SG: Pm-3m (221)
DOS at the Fermi energy: 3.9 states/eV/cell
calculated total energy: -6.01 eV per atom



(7)
Computed, not measured: Pm3GeAsCl after structural relaxation at the PBE level of DFT.

a b c (Å): 4.276 8.409 9.511
angles (deg): 103.81 90.00 90.00
Site moments in Bohr magnetons follow the coordinates.
Fractional positions:
Pm 0.750 0.418 0.154  0.08
Pm 0.750 0.906 0.133  0.03
Pm 0.250 0.727 0.502  0.26
Pm 0.250 0.094 0.867  0.03
Pm 0.750 0.273 0.498  0.26
Pm 0.250 0.582 0.846  0.08
Ge 0.250 0.184 0.217  0.01
Ge 0.750 0.816 0.783  0.01
Cl 0.250 0.105 0.582  0.01
Cl 0.750 0.895 0.418  0.01
As 0.750 0.338 0.841  0.00
As 0.250 0.662 0.159  0.00

Results
ΔE_f (raw): -1145.1 meV/atom
SG: P2_1/m (11)
DOS at the Fermi energy: 4.6 states/eV/cell
calculated total energy: -5.37 eV per atom



(8)
Computed, not measured: PuNpPa2As4 after structural relaxation at the PBE level of DFT.

a b c (Å): 4.123 7.075 7.149
angles (deg): 70.38 90.00 90.00
Site moments in Bohr magnetons follow the coordinates.
Fractional positions:
As 0.000 0.248 0.250  -0.05
As 0.000 0.752 0.750  -0.05
As 0.500 0.752 0.248  -0.05
As 0.500 0.248 0.752  -0.05
Pu 0.000 0.500 0.500  5.17
Pa 0.000 0.000 0.000  0.27
Pa 0.500 0.000 0.500  0.31
Np 0.500 0.500 0.000  3.80

Results
energy of formation: -0.97 eV per atom
SG: P2/m (10)
DOS at the Fermi energy: 18.4 states/eV/cell
calculated total energy: -9.08 eV per atom



Number 1: ρ 9.22 Mg/m³. Number 2: ρ 13.21 Mg/m³. Number 3: ρ 4.01 Mg/m³. Number 4: ρ 8.68 Mg/m³. Number 5: ρ 3.98 Mg/m³. Number 6: ρ 7.17 Mg/m³. Number 7: ρ 6.18 Mg/m³. Number 8: ρ 10.51 Mg/m³.